First-principles (GGA-PBE) data for a relaxed La3Pm6Nd2 crystal, as listed in Alexandria via LeMat-Bulk.

abc: 6.605 6.605 11.299
angles: 93.63 93.63 125.73
Positions (direct):
1 La 0.000 0.000 0.000
2 La 0.319 0.681 0.000
3 La 0.681 0.319 0.000
4 Pm 0.095 0.784 0.290
5 Pm 0.216 0.905 0.710
6 Pm 0.418 0.418 0.232
7 Pm 0.582 0.582 0.768
8 Pm 0.784 0.095 0.290
9 Pm 0.905 0.216 0.710
10 Nd 0.359 0.641 0.500
11 Nd 0.641 0.359 0.500

Properties
The total energy comes out at -51.2 eV/cell. The symmetry is C2/m. The total magnetic moment comes out at 0.00 μB per formula unit. The value obtained for the formation energy is 0.14 eV/atom.

=====

First-principles (GGA-PBE) data for a relaxed LaIrRh2 crystal, as listed in Alexandria via LeMat-Bulk.

abc: 2.958 3.945 6.226
angles: 90.00 90.00 90.00
Positions (direct):
1 La 0.000 0.000 0.000
2 Ir 0.500 0.500 0.689
3 Rh 0.000 0.000 0.514
4 Rh 0.500 0.500 0.271

Properties
The total energy comes out at -28.9 eV/cell. The symmetry is Pmm2. The total magnetic moment comes out at 0.00 μB per formula unit. The value obtained for the offset from the most stable computed form is 401.3 meV per atom. The value obtained for the formation energy is -0.10 eV/atom.

=====

First-principles (GGA-PBE) data for a relaxed SiAgPt2 crystal, as listed in Alexandria via LeMat-Bulk.

abc: 2.830 3.018 15.570
angles: 90.00 90.00 90.00
Positions (direct):
1 Si 0.000 0.000 0.000
2 Si 0.500 0.500 0.500
3 Ag 0.000 0.500 0.744
4 Ag 0.500 0.000 0.244
5 Pt 0.000 0.000 0.587
6 Pt 0.000 0.500 0.377
7 Pt 0.500 0.000 0.877
8 Pt 0.500 0.500 0.087

Properties
For the formation energy from raw total energies, the calculation gives -0.30 eV per atom. The total energy comes out at -43.1 eV/cell. The symmetry is Imm2. The total magnetic moment comes out at 0.00 μB per formula unit.